Computed, not measured: an optimized crystal structure of Sr2Sn4Ir3Rh at the PBE level of DFT.

a b c (Å): 4.587 4.587 10.831
angles (deg): 90.00 90.00 90.00
Sites, in units of the cell vectors:
Sr  0.000  0.500  0.244
Sr  0.500  0.000  0.756
Sn  0.000  0.000  0.500
Sn  0.000  0.500  0.874
Sn  0.500  0.000  0.126
Sn  0.500  0.500  0.500
Ir  0.000  0.000  0.000
Ir  0.000  0.500  0.630
Ir  0.500  0.000  0.370
Rh  0.500  0.500  0.000

Summary:
- Calculated volume: 22.787 A^3/atom
- ΔE_f: -50.2 kJ/mol of atoms